No. 1
PuSc2ZnPd4, optimized geometry, DFT PBE-GGA; ΔH_f (0 K) = -642.5 meV/atom
1.0
-3.691 -2.104 1.851
0.508 -2.732 3.709
-2.235 4.639 6.618
Pd Sc Pu Zn
4 2 1 1
direct
0.874 0.874 0.378
0.609 0.609 0.172
0.126 0.126 0.622
0.391 0.391 0.828
0.240 0.240 0.279
0.760 0.760 0.721
0.000 0.000 0.000
0.500 0.500 0.500

=====

No. 2
PuPdSe, optimized geometry, DFT PBE-GGA; polymorph energy (0 for the lowest one) = 0.1114 eV per atom; formation energy without anion corrections = -2.26 eV/f.u.
1.0
-1.522 1.559 3.124
-2.485 -2.877 0.225
4.821 -1.580 0.815
Pd Se Pu
1 1 1
direct
0.609 0.609 0.218
0.294 0.294 0.589
0.946 0.946 0.893

=====

No. 3
PuPdSe2, optimized geometry, DFT PBE-GGA; polymorph energy (0 for the lowest one) = 0.5997 eV per atom; formation energy without anion corrections = -0.85 eV/f.u.
1.0
-0.233 -0.566 -3.699
1.505 -3.077 -1.524
-6.885 -5.330 -0.651
Pd Se Pu
1 2 1
direct
0.500 0.500 0.500
0.112 0.112 0.665
0.888 0.888 0.335
0.000 0.000 0.000

=====

No. 4
PuPdSe, optimized geometry, DFT PBE-GGA; polymorph energy (0 for the lowest one) = 0.0273 eV per atom; formation energy without anion corrections = -2.52 eV/f.u.
1.0
4.227 0.000 0.000
2.113 5.542 0.494
2.113 0.595 5.532
Pd Pu Se
2 2 2
direct
0.154 0.846 0.846
0.846 0.154 0.154
0.500 0.260 0.740
0.500 0.740 0.260
0.188 0.312 0.312
0.812 0.688 0.688

=====

No. 5
PuPdSe2, optimized geometry, DFT PBE-GGA; polymorph energy (0 for the lowest one) = 0.0000 eV per atom; formation energy without anion corrections = -3.25 eV/f.u.
1.0
4.058 0.000 0.000
2.029 3.514 0.000
2.029 1.171 6.239
Se Pu Pd
2 1 1
direct
0.255 0.255 0.236
0.072 0.072 0.785
0.495 0.495 0.515
0.679 0.679 0.964

=====

No. 6
PuPd2Se, optimized geometry, DFT PBE-GGA; formation energy without anion corrections = 0.41 eV/f.u.
1.0
3.131 0.000 0.000
1.565 2.711 0.000
1.565 0.904 9.360
Pd Pu Se
2 1 1
direct
0.095 0.095 0.715
0.905 0.905 0.285
0.000 0.000 0.000
0.500 0.500 0.500

=====

Calculated raw total energy, -6.7726 -8.4247 -6.8367 -8.5087 -7.4363 -6.9489 eV/atom (same order as the records).